Model P:
Entry from the Alexandria database: an optimized crystal structure of Ti3CrN (PBE).

The structure in extended XYZ format:
```
5
Lattice="4.418 0.000 0.000 0.000 4.418 0.000 0.000 0.000 4.418" Properties=species:S:1:pos:R:3 pbc="T T T"
Ti 0.000 0.000 2.209
Ti 2.209 0.000 0.000
N 2.209 2.209 2.209
Cr 0.000 0.000 0.000
Ti 0.000 2.209 0.000
```

SG: Pm-3m

=====

Model Q:
Entry from the Alexandria database: an optimized crystal structure of Ti3CrN (PBE).

The structure in extended XYZ format:
```
5
Lattice="-2.144 -3.469 0.180 0.381 -0.025 4.064 -3.453 2.151 0.337" Properties=species:S:1:pos:R:3 pbc="T T T"
Cr -2.608 -0.671 2.291
Ti -1.072 -1.735 0.090
N 0.000 0.000 0.000
Ti -1.726 1.076 0.169
Ti 0.191 -0.012 2.032
```

SG: Pm-3m

=====

model Q ends up most stable, edging out the next structure by 2014 meV/atom.

=====

Model P:
Entry from the Alexandria database: an optimized crystal structure of Tl2CrN (PBE).

The structure in extended XYZ format:
```
4
Lattice="1.690 3.510 2.530 -2.821 2.429 2.778 0.355 -0.421 4.612" Properties=species:S:1:pos:R:3 pbc="T T T"
N 0.000 0.000 0.000
Tl -0.583 4.139 7.440
Tl -0.194 1.380 2.480
Cr -0.388 2.759 4.960
```

SG: Fm-3m

=====

Model Q:
Entry from the Alexandria database: an optimized crystal structure of Tl2CrN (PBE).

The structure in extended XYZ format:
```
8
Lattice="6.914 0.000 0.000 0.000 6.914 0.000 3.457 3.457 3.088" Properties=species:S:1:pos:R:3 pbc="T T T"
Cr 0.000 0.000 0.000
N 3.457 6.914 1.544
Tl 4.849 1.728 0.772
N 3.457 3.457 0.000
Tl 8.642 8.306 2.316
Cr 6.914 3.457 1.544
Tl 2.065 5.185 0.772
Tl 5.185 5.521 2.316
```

SG: I-42d

=====

model Q ends up most stable, edging out the next structure by 333 meV/atom.

=====

Model P:
Entry from the Alexandria database: an optimized crystal structure of Tl3CrN (PBE).

The structure in extended XYZ format:
```
5
Lattice="-4.227 -0.189 -2.355 -0.496 -4.648 1.264 -2.310 1.344 4.038" Properties=species:S:1:pos:R:3 pbc="T T T"
Tl -0.248 -2.324 0.632
Cr -3.516 -1.746 1.474
N 0.000 0.000 0.000
Tl -1.155 0.672 2.019
Tl -2.114 -0.095 -1.177
```

SG: Pm-3m

=====

Model Q:
Entry from the Alexandria database: an optimized crystal structure of Tl3CrN (PBE).

The structure in extended XYZ format:
```
5
Lattice="-0.248 -2.771 -4.546 1.259 -4.453 2.645 -5.173 -0.951 0.861" Properties=species:S:1:pos:R:3 pbc="T T T"
N -2.081 -4.087 -0.520
Tl 0.629 -2.226 1.323
Cr 0.000 0.000 0.000
Tl -0.124 -1.385 -2.273
Tl -2.587 -0.475 0.431
```

SG: Pm-3m

=====

model Q ends up most stable, edging out the next structure by 181 meV/atom.

=====

Model P:
Entry from the Alexandria database: an optimized crystal structure of VCrN2 (PBE).

The structure in extended XYZ format:
```
8
Lattice="-0.584 -1.519 4.128 -2.217 -3.495 -1.600 2.382 -4.770 0.966" Properties=species:S:1:pos:R:3 pbc="T T T"
N -0.663 -7.961 2.939
N -0.046 -2.577 2.617
Cr 0.198 -4.398 3.179
N -0.864 -3.568 -0.238
Cr 0.000 0.000 0.000
N 0.733 -5.462 1.671
V -1.401 -2.507 1.264
V -0.618 -5.386 0.315
```

SG: I-42d

=====

Model Q:
Entry from the Alexandria database: an optimized crystal structure of VCrN2 (PBE).

The structure in extended XYZ format:
```
4
Lattice="1.678 0.000 5.913 -0.839 1.453 5.913 -0.839 -1.453 5.913" Properties=species:S:1:pos:R:3 pbc="T T T"
V 0.000 0.000 8.870
Cr 0.000 0.000 0.000
N 0.000 0.000 15.871
N 0.000 0.000 1.869
```

SG: R-3m

=====

Model R:
Entry from the Alexandria database: an optimized crystal structure of VCrN2 (PBE).

The structure in extended XYZ format:
```
4
Lattice="-2.144 -0.661 1.961 2.861 -0.117 0.825 1.003 4.141 2.491" Properties=species:S:1:pos:R:3 pbc="T T T"
V -0.571 1.740 2.226
N 1.146 0.790 1.519
N 0.574 2.572 3.758
Cr 0.000 0.000 0.000
```

SG: R-3m

=====

model R ends up most stable, edging out the next structure by 22 meV/atom.

=====

Model P:
Entry from the Alexandria database: an optimized crystal structure of VCrN2 (PBE).

The structure in extended XYZ format:
```
4
Lattice="0.000 2.529 2.529 2.529 0.000 2.529 2.529 2.529 0.000" Properties=species:S:1:pos:R:3 pbc="T T T"
Cr 2.529 2.529 2.529
V 0.000 0.000 0.000
N 3.794 3.794 3.794
N 1.265 1.265 1.265
```

SG: Fm-3m

=====

Model Q:
Entry from the Alexandria database: an optimized crystal structure of VCrN2 (PBE).

The structure in extended XYZ format:
```
4
Lattice="-2.569 -0.290 -0.932 -0.461 -0.280 -2.695 -0.599 -5.317 -0.746" Properties=species:S:1:pos:R:3 pbc="T T T"
V -2.620 -5.697 -3.164
Cr -1.814 -2.949 -2.186
N -0.705 -4.003 -0.865
N -0.905 -1.500 -1.091
```

SG: R3m

=====

model Q ends up most stable, edging out the next structure by 561 meV/atom.

=====

Model P:
Entry from the Alexandria database: an optimized crystal structure of Cr3WN (PBE).

The structure in extended XYZ format:
```
5
Lattice="-2.218 -3.831 0.715 2.870 -2.162 -2.683 2.637 -0.869 3.521" Properties=species:S:1:pos:R:3 pbc="T T T"
Cr 1.318 -0.435 1.761
Cr 1.435 -1.081 -1.341
Cr -1.109 -1.915 0.358
W 0.000 0.000 0.000
N 1.644 -3.431 0.777
```

SG: Pm-3m

=====

Model Q:
Entry from the Alexandria database: an optimized crystal structure of Cr3WN (PBE).

The structure in extended XYZ format:
```
5
Lattice="3.847 0.000 0.000 0.000 3.847 0.000 0.000 0.000 3.847" Properties=species:S:1:pos:R:3 pbc="T T T"
Cr 0.000 1.923 0.000
N 0.000 0.000 0.000
Cr 0.000 0.000 1.923
W 1.923 1.923 1.923
Cr 1.923 0.000 0.000
```

SG: Pm-3m

=====

model Q ends up most stable, edging out the next structure by 3048 meV/atom.

=====

Model P:
Entry from the Alexandria database: an optimized crystal structure of CrWN (PBE).

The structure in extended XYZ format:
```
6
Lattice="-2.581 -1.039 -0.597 1.129 -1.634 -2.038 1.150 -5.968 5.421" Properties=species:S:1:pos:R:3 pbc="T T T"
Cr -0.555 -4.337 3.169
W -1.141 -1.294 0.405
N -0.852 -2.792 1.766
N 1.277 -4.512 2.337
W 1.565 -6.010 3.698
Cr 0.979 -2.967 0.934
```

SG: P4/nmm

=====

Model Q:
Entry from the Alexandria database: an optimized crystal structure of CrWN (PBE).

The structure in extended XYZ format:
```
3
Lattice="2.620 0.000 0.000 0.000 2.620 0.000 -1.310 -1.310 4.733" Properties=species:S:1:pos:R:3 pbc="T T T"
N 1.310 1.310 1.861
Cr 0.000 0.000 2.740
W 0.000 0.000 0.133
```

SG: I4mm

=====

Model R:
Entry from the Alexandria database: an optimized crystal structure of CrWN (PBE).

The structure in extended XYZ format:
```
3
Lattice="-4.273 -1.006 -1.901 1.167 -0.072 -2.585 -0.137 -2.365 1.561" Properties=species:S:1:pos:R:3 pbc="T T T"
W -2.298 -2.212 -0.976
Cr -0.336 -0.079 -0.149
N -0.610 -1.152 -1.800
```

SG: P3m1

=====

model P ends up most stable, edging out the next structure by 150 meV/atom.

=====

Model P:
Entry from the Alexandria database: an optimized crystal structure of YCr3N (PBE).

The structure in extended XYZ format:
```
5
Lattice="4.075 0.000 0.000 0.000 4.075 0.000 0.000 0.000 4.075" Properties=species:S:1:pos:R:3 pbc="T T T"
Y 2.038 2.038 2.038
N 0.000 0.000 0.000
Cr 0.000 0.000 2.038
Cr 2.038 0.000 0.000
Cr 0.000 2.038 0.000
```

SG: Pm-3m

=====

Model Q:
Entry from the Alexandria database: an optimized crystal structure of YCr3N (PBE).

The structure in extended XYZ format:
```
5
Lattice="-2.464 -3.068 3.237 -0.396 -3.533 -3.650 4.443 -2.016 1.470" Properties=species:S:1:pos:R:3 pbc="T T T"
N 0.792 -4.309 0.529
Cr -0.198 -1.767 -1.825
Y 0.000 0.000 0.000
Cr 2.221 -1.008 0.735
Cr -1.232 -1.534 1.619
```

SG: Pm-3m

=====

model P ends up most stable, edging out the next structure by 2987 meV/atom.

=====

Model P:
Entry from the Alexandria database: an optimized crystal structure of Y2Cr2N (PBE).

The structure in extended XYZ format:
```
5
Lattice="5.665 0.000 0.000 0.000 5.665 0.000 2.833 2.833 3.199" Properties=species:S:1:pos:R:3 pbc="T T T"
Cr 2.833 2.833 1.397
Y 5.665 2.833 1.600
Cr 5.665 5.665 1.802
Y 2.833 5.665 1.600
N 0.000 0.000 0.000
```

SG: I4/mmm

=====

Model Q:
Entry from the Alexandria database: an optimized crystal structure of Y2Cr2N (PBE).

The structure in extended XYZ format:
```
10
Lattice="-4.076 -0.426 -3.859 3.457 -2.946 -3.326 -1.650 -4.460 2.235" Properties=species:S:1:pos:R:3 pbc="T T T"
Cr 0.375 -1.020 -1.759
Y -0.693 -4.958 -4.229
Y -1.576 -2.874 -0.721
Cr 1.530 -2.553 -3.965
N -0.310 -1.686 -3.593
Cr -0.994 -2.352 -5.427
Y 0.798 -4.279 -1.773
Y -3.067 -3.553 -3.177
Cr -2.149 -0.819 -3.221
N 0.000 0.000 0.000
```

SG: P4/mbm

=====

model Q ends up most stable, edging out the next structure by 161 meV/atom.

=====

Model P:
Entry from the Alexandria database: an optimized crystal structure of Zr2Cr2N (PBE).

The structure in extended XYZ format:
```
5
Lattice="5.020 0.000 0.000 0.000 5.020 0.000 2.510 2.510 4.712" Properties=species:S:1:pos:R:3 pbc="T T T"
Zr 2.510 5.020 2.356
Zr 5.020 2.510 2.356
Cr 5.020 5.020 1.728
N 0.000 0.000 0.000
Cr 2.510 2.510 2.983
```

SG: I4/mmm

=====

Model Q:
Entry from the Alexandria database: an optimized crystal structure of Zr2Cr2N (PBE).

The structure in extended XYZ format:
```
10
Lattice="-0.155 4.098 -3.477 -5.374 -0.099 0.122 0.027 3.273 3.856" Properties=species:S:1:pos:R:3 pbc="T T T"
Cr -1.010 2.723 -2.304
Zr -1.859 4.984 -0.900
Cr -3.722 3.340 -2.809
N 0.000 0.000 0.000
Zr -3.642 2.287 1.401
Zr -4.523 4.321 -0.319
Cr -1.806 0.658 -0.546
Zr -0.978 2.950 0.820
Cr -4.518 1.275 -1.050
N -2.764 1.999 -1.677
```

SG: P4/mbm

=====

model Q ends up most stable, edging out the next structure by 787 meV/atom.

=====

Model P:
Entry from the Alexandria database: an optimized crystal structure of NaNbCr2 (PBE).

The structure in extended XYZ format:
```
8
Lattice="-3.659 0.827 0.861 -0.430 -3.502 1.537 0.605 1.911 9.345" Properties=species:S:1:pos:R:3 pbc="T T T"
Na -0.934 -1.464 6.040
Cr -2.480 0.623 3.135
Nb 0.000 0.000 0.000
Na -2.044 -1.338 1.199
Cr -0.284 -1.673 3.336
Cr -3.158 -1.186 9.228
Cr -1.045 0.709 7.785
Nb -2.549 0.700 5.702
```

SG: I-42d

=====

Model Q:
Entry from the Alexandria database: an optimized crystal structure of NaNbCr2 (PBE).

The structure in extended XYZ format:
```
4
Lattice="3.375 2.086 2.274 -0.584 1.182 4.379 2.259 -2.231 3.291" Properties=species:S:1:pos:R:3 pbc="T T T"
Cr 3.788 0.778 7.458
Nb 2.525 0.518 4.972
Na 0.000 0.000 0.000
Cr 1.263 0.259 2.486
```

SG: Fm-3m

=====

model Q ends up most stable, edging out the next structure by 506 meV/atom.

=====

Model P:
Entry from the Alexandria database: an optimized crystal structure of NaNb2Cr (PBE).

The structure in extended XYZ format:
```
8
Lattice="-1.145 -1.463 -3.440 2.917 -2.600 0.134 -5.273 -8.691 3.229" Properties=species:S:1:pos:R:3 pbc="T T T"
Nb -2.360 -10.112 -0.469
Na -0.735 -6.661 0.855
Nb -1.687 -3.434 -1.378
Nb -3.335 -8.002 1.180
Cr 0.000 0.000 0.000
Cr -2.766 -6.092 -0.932
Nb 0.379 -3.958 0.513
Na 0.886 -2.031 -1.653
```

SG: I-42d

=====

Model Q:
Entry from the Alexandria database: an optimized crystal structure of NaNb2Cr (PBE).

The structure in extended XYZ format:
```
4
Lattice="-3.642 -2.170 1.669 -4.181 1.631 -0.784 -2.819 -2.214 -2.812" Properties=species:S:1:pos:R:3 pbc="T T T"
Na 0.000 0.000 0.000
Cr -5.320 -1.377 -0.964
Nb -7.981 -2.065 -1.446
Nb -2.660 -0.688 -0.482
```

SG: Fm-3m

=====

model Q ends up most stable, edging out the next structure by 334 meV/atom.

=====

Model P:
Entry from the Alexandria database: an optimized crystal structure of Na3NbCr (PBE).

The structure in extended XYZ format:
```
5
Lattice="5.080 0.000 0.000 0.000 5.080 0.000 0.000 0.000 5.080" Properties=species:S:1:pos:R:3 pbc="T T T"
Cr 0.000 0.000 0.000
Na 0.000 0.000 2.540
Na 0.000 2.540 0.000
Na 2.540 0.000 0.000
Nb 2.540 2.540 2.540
```

SG: Pm-3m

=====

Model Q:
Entry from the Alexandria database: an optimized crystal structure of Na3NbCr (PBE).

The structure in extended XYZ format:
```
5
Lattice="-3.071 1.598 -4.788 -0.087 -5.620 -1.820 -5.047 -0.876 2.945" Properties=species:S:1:pos:R:3 pbc="T T T"
Na -1.535 0.799 -2.394
Na -2.523 -0.438 1.472
Cr -4.102 -2.449 -1.832
Nb 0.000 0.000 0.000
Na -0.044 -2.810 -0.910
```

SG: Pm-3m

=====

model P ends up most stable, edging out the next structure by 98 meV/atom.